(1)
## Y5Al2Pb (GGA-PBE)

Data for an optimized crystal structure of Y5Al2Pb.

Cell lengths 8.987, 8.987, 8.987 Å; angles 127.33, 127.33, 77.72 degrees
Fractional coordinates of all 16 atoms:
Y  0.000  0.000  0.000
Y  0.019  0.519  0.827
Y  0.191  0.019  0.500
Y  0.309  0.809  0.827
Y  0.481  0.309  0.500
Y  0.500  0.500  0.000
Y  0.519  0.691  0.500
Y  0.691  0.191  0.173
Y  0.809  0.981  0.500
Y  0.981  0.481  0.173
Al  0.126  0.374  0.500
Al  0.374  0.874  0.248
Al  0.626  0.126  0.752
Al  0.874  0.626  0.500
Pb  0.250  0.250  0.000
Pb  0.750  0.750  0.000

Energy relative to the elements (eV/atom): -0.43
Space-group type: I4/mcm
VASP energy (eV per cell): -93.86



(2)
## YAl2Pb2 (GGA-PBE)

Data for an optimized crystal structure of YAl2Pb2.

Cell lengths 8.293, 8.293, 3.724 Å; angles 90.00, 90.00, 90.00 degrees
Fractional coordinates of all 10 atoms:
Y  0.000  0.000  0.000
Y  0.500  0.500  0.000
Al  0.154  0.346  0.500
Al  0.346  0.846  0.500
Al  0.654  0.154  0.500
Al  0.846  0.654  0.500
Pb  0.142  0.642  0.000
Pb  0.358  0.142  0.000
Pb  0.642  0.858  0.000
Pb  0.858  0.358  0.000

Energy relative to the elements (eV/atom): 0.08
Space-group type: P4/mbm
VASP energy (eV per cell): -41.93



(3)
## YAl2Pb (GGA-PBE)

Data for an optimized crystal structure of YAl2Pb.

Cell lengths 3.655, 3.655, 6.982 Å; angles 90.00, 90.00, 90.00 degrees
Fractional coordinates of all 4 atoms:
Y  0.000  0.000  0.000
Al  0.000  0.000  0.442
Al  0.500  0.500  0.261
Pb  0.500  0.500  0.690

Energy relative to the elements (eV/atom): -0.15
Space-group type: P4mm
VASP energy (eV per cell): -18.26